A plane-wave DFT calculation with GGA-PBE was carried out for crystalline ZnTcAu at its relaxed geometry.

```
ZnTcAu
1.0
-1.372 1.372 6.173
1.372 -1.372 6.173
1.372 1.372 -6.173
Zn Tc Au
1 1 1
Direct
0.000 0.000 0.000
0.657 0.657 0.000
0.330 0.330 0.000
```

## Properties
Formation enthalpy at 0 K ... 0.45 eV/f.u.
Total moment ... 0.0 μB per cell
Space group ... I4mm